DFT (GGA-PBE) results for crystalline BaSi2Ru at its relaxed geometry.

Unit cell a=3.2507 b=3.2507 c=7.4529 alpha=90.00 beta=90.00 gamma=90.00
Last column: nearest neighbours and their distance in Å.
Space group P4/mmm (No. 123)
Inequivalent atoms, fractional coordinates:
Ba: 0.0000 0.0000 0.0000 (multiplicity 1)  4 Ba 3.25, 8 Si 3.37
Si: 0.5000 0.5000 0.3301 (multiplicity 2)  1 Si 2.53, 4 Ru 2.62
Ru: 0.0000 0.0000 0.5000 (multiplicity 1)  8 Si 2.62

Computed properties:
Energy (eV per atom): -5.638



DFT (GGA-PBE) results for crystalline Li3Se5 at its relaxed geometry.

Unit cell a=7.5262 b=7.5262 c=6.7333 alpha=90.00 beta=90.00 gamma=120.00
Last column: nearest neighbours and their distance in Å.
Space group P6_3/mcm (No. 193)
Inequivalent atoms, fractional coordinates:
Li: 0.0000 0.4421 0.2500 (multiplicity 6)  7 Se 2.77-2.89
Se: 0.0000 0.1892 0.7500 (multiplicity 6)  2 Se 2.47
Se: 0.3333 0.6667 0.0000 (multiplicity 4)  6 Li 2.78

Computed properties:
Relative energy among the computed polymorphs (meV per atom): 229



DFT (GGA-PBE) results for crystalline Te3SeI at its relaxed geometry.

Unit cell a=7.1398 b=7.1398 c=24.3706 alpha=90.00 beta=90.00 gamma=120.00
Last column: nearest neighbours and their distance in Å.
Space group R3c (No. 161, hexagonal axes)
Inequivalent atoms, fractional coordinates:
Te: 0.1105 0.4047 0.0000 (multiplicity 18)  2 Se 2.99-3.09, 2 Te 3.03
Se: 0.0000 0.0000 0.4381 (multiplicity 6)  6 Te 2.99-3.09
I: 0.0000 0.0000 0.1005 (multiplicity 6)  6 Te 3.36-3.56

Computed properties:
Relative energy among the computed polymorphs (meV per atom): 0



DFT (GGA-PBE) results for crystalline CoRh at its relaxed geometry.

Unit cell a=4.2090 b=2.6566 c=4.5752 alpha=90.00 beta=90.00 gamma=90.00
Last column: nearest neighbours and their distance in Å.
Space group Pmma (No. 51)
Inequivalent atoms, fractional coordinates:
Co: 0.2500 0.0000 0.1620 (multiplicity 2)  4 Co 2.57-2.66, 8 Rh 2.58-2.71
Rh: 0.2500 0.5000 0.6776 (multiplicity 2)  8 Co 2.58-2.71, 4 Rh 2.66

Computed properties:
Formation energy from the elements (eV/atom): 0.0339



DFT (GGA-PBE) results for crystalline Y2TlCd at its relaxed geometry.

Unit cell a=3.7200 b=3.7200 c=29.0731 alpha=90.00 beta=90.00 gamma=120.00
Last column: nearest neighbours and their distance in Å.
Space group R3m (No. 160, hexagonal axes)
Inequivalent atoms, fractional coordinates:
Y: 0.0000 0.0000 0.0000 (multiplicity 3)  3 Tl 3.23, 3 Cd 3.24
Y: 0.0000 0.0000 0.1667 (multiplicity 3)  3 Cd 3.24, 3 Tl 3.24
Tl: 0.0000 0.0000 0.5835 (multiplicity 3)  6 Y 3.23-3.24
Cd: 0.0000 0.0000 0.4166 (multiplicity 3)  6 Y 3.24

Computed properties:
Formation energy from the elements (eV/atom): -0.1934



DFT (GGA-PBE) results for crystalline RbBO2 at its relaxed geometry.

Unit cell a=7.0581 b=7.0581 c=7.0581 alpha=90.00 beta=90.00 gamma=90.00
Last column: nearest neighbours and their distance in Å.
Space group Fd-3m (No. 227, origin choice 2)
Inequivalent atoms, fractional coordinates:
Rb: 0.1250 0.1250 0.1250 (multiplicity 8)  12 O 2.93, 4 B 3.06, 4 Rb 3.06
B: 0.1250 0.1250 0.6250 (multiplicity 8)  4 O 1.53
O: 0.0000 0.0000 0.5000 (multiplicity 16)  2 B 1.53

Computed properties:
Energy (eV per atom): -6.300



DFT (GGA-PBE) results for crystalline PuTiC at its relaxed geometry.

Unit cell a=3.7322 b=3.7322 c=3.9750 alpha=90.00 beta=90.00 gamma=120.00
Last column: nearest neighbours and their distance in Å.
Space group P-6m2 (No. 187)
Inequivalent atoms, fractional coordinates:
Pu: 0.0000 0.0000 0.0000 (multiplicity 1)  6 Ti 2.93, 6 C 2.93
Ti: 0.6667 0.3333 0.5000 (multiplicity 1)  3 C 2.15
C: 0.3333 0.6667 0.5000 (multiplicity 1)  3 Ti 2.15

Computed properties:
Formation energy from the elements (eV/atom): 0.1195



DFT (GGA-PBE) results for crystalline Ti4AsIr at its relaxed geometry.

Unit cell a=6.6922 b=6.8673 c=4.6131 alpha=90.00 beta=90.00 gamma=90.00
Last column: nearest neighbours and their distance in Å.
Space group Pbam (No. 55)
Inequivalent atoms, fractional coordinates:
Ti: 0.1525 0.1355 0.0000 (multiplicity 4)  2 As 2.51-2.70, 2 Ir 2.69, 3 Ti 2.76-2.80
Ti: 0.1588 0.3672 0.5000 (multiplicity 4)  2 Ir 2.46-2.74, 2 As 2.70
As: 0.0000 0.5000 0.0000 (multiplicity 2)  8 Ti 2.51-2.70
Ir: 0.0000 0.0000 0.5000 (multiplicity 2)  8 Ti 2.46-2.74

Computed properties:
Formation energy from the elements (eV/atom): -0.3379



DFT (GGA-PBE) results for crystalline DyTmPb at its relaxed geometry.

Unit cell a=5.2831 b=5.2831 c=3.6842 alpha=90.00 beta=90.00 gamma=120.00
Last column: nearest neighbours and their distance in Å.
Space group P3m1 (No. 156)
Inequivalent atoms, fractional coordinates:
Dy: 0.0000 0.0000 0.0000 (multiplicity 1)  3 Pb 3.25, 6 Tm 3.50-3.63
Tm: 0.3333 0.6667 0.5350 (multiplicity 1)  3 Pb 3.17, 3 Dy 3.50
Pb: 0.6667 0.3333 0.3056 (multiplicity 1)  3 Tm 3.17, 3 Dy 3.25

Computed properties:
Formation energy from the elements (eV/atom): -0.1867



DFT (GGA-PBE) results for crystalline CaPr2Sm at its relaxed geometry.

Unit cell a=5.2909 b=5.2909 c=5.1625 alpha=90.00 beta=90.00 gamma=90.00
Last column: nearest neighbours and their distance in Å.
Space group P4/mmm (No. 123)
Inequivalent atoms, fractional coordinates:
Ca: 0.0000 0.0000 0.0000 (multiplicity 1)  8 Pr 3.70, 4 Sm 3.74
Pr: 0.0000 0.5000 0.5000 (multiplicity 2)  4 Ca 3.70, 4 Sm 3.70, 4 Pr 3.74
Sm: 0.5000 0.5000 0.0000 (multiplicity 1)  8 Pr 3.70, 4 Ca 3.74

Computed properties:
Relative energy among the computed polymorphs (meV per atom): 48
Formation energy from the elements (eV/atom): 0.0743



DFT (GGA-PBE) results for crystalline NiAgCl2 at its relaxed geometry.

Unit cell a=14.8664 b=3.3857 c=3.9609 alpha=90.00 beta=105.08 gamma=90.00
Last column: nearest neighbours and their distance in Å.
Space group Cm (No. 8)
Inequivalent atoms, fractional coordinates:
Ni: 0.0000 0.0000 0.0000 (multiplicity 2)  3 Cl 2.20-2.24
Ag: 0.4339 0.0000 0.4349 (multiplicity 2)  4 Ni 2.77, 4 Cl 2.88-2.90
Cl: 0.1019 0.5000 0.1038 (multiplicity 2)  2 Ni 2.24
Cl: 0.3470 0.5000 0.8464 (multiplicity 2)  1 Ni 2.20

Computed properties:
Relative energy among the computed polymorphs (meV per atom): 21



DFT (GGA-PBE) results for crystalline NaC at its relaxed geometry.

Unit cell a=10.5471 b=5.1945 c=7.3188 alpha=90.00 beta=90.00 gamma=90.00
Last column: nearest neighbours and their distance in Å.
Space group Pnma (No. 62)
Inequivalent atoms, fractional coordinates:
Na: 0.0166 0.2500 0.1559 (multiplicity 4)  2 C 2.66
Na: 0.2237 0.2500 0.6897 (multiplicity 4)  2 C 2.79
C: 0.0004 0.1249 0.5070 (multiplicity 8)  2 C 1.30

Computed properties:
Relative energy among the computed polymorphs (meV per atom): 190
Formation energy from the elements (eV/atom): 0.4211